No. 1
LaThSi2Pt5 | GGA-PBE | relaxed

Cell: 4.638 4.638 9.225 Å, 90.00 90.00 90.00°
Space group P4/mmm (No. 123)
One atom of each set of equivalent atoms:
La1 0.000 0.000 0.000 x1
Th1 0.000 0.000 0.500 x1
Si1 0.500 0.500 0.255 x2
Pt1 0.000 0.500 0.294 x4
Pt2 0.500 0.500 0.000 x1

Output
- VASP energy: -6.77 eV/atom

No. 2
La2ThSi3Pt12 | GGA-PBE | relaxed

Cell: 8.2965 8.2965 18.8575 Å, 90.00 90.00 120.00°
Space group R-3m (No. 166, hexagonal axes)
One atom of each set of equivalent atoms:
La1 0.0000 0.0000 0.0989 x6
Th1 0.0000 0.0000 0.5000 x3
Si1 0.0000 0.5000 0.0000 x9
Pt1 0.0342 0.5171 0.3649 x18
Pt2 0.0361 0.5180 0.8734 x18

Output
- VASP energy: -6.50 eV/atom

No. 3
LaThSi2Pt2 | GGA-PBE | relaxed

Cell: 4.2604 4.2604 8.3557 Å, 90.00 90.00 120.00°
Space group P-3m1 (No. 164)
One atom of each set of equivalent atoms:
La1 0.0000 0.0000 0.0000 x1
Th1 0.0000 0.0000 0.5000 x1
Si1 0.3333 0.6667 0.7405 x2
Pt1 0.3333 0.6667 0.2566 x2

Output
- VASP energy: -7.04 eV/atom

No. 4
LaTmSi2Pt5 | GGA-PBE | relaxed

Cell: 4.267 4.267 8.955 Å, 90.00 90.00 90.00°
Space group P4/mmm (No. 123)
One atom of each set of equivalent atoms:
La1 0.000 0.000 0.000 x1
Tm1 0.000 0.000 0.500 x1
Si1 0.500 0.500 0.369 x2
Pt1 0.000 0.500 0.245 x4
Pt2 0.500 0.500 0.000 x1

Output
- VASP energy: -6.63 eV/atom

No. 5
La2TmSi4Pt3 | GGA-PBE | relaxed

Cell: 4.295 4.295 10.829 Å, 90.00 90.00 90.00°
Space group P-4m2 (No. 115)
One atom of each set of equivalent atoms:
La1 0.000 0.500 0.232 x2
Tm1 0.000 0.000 0.500 x1
Si1 0.000 0.000 0.000 x1
Si2 0.000 0.500 0.663 x2
Si3 0.500 0.500 0.000 x1
Pt1 0.000 0.500 0.890 x2
Pt2 0.500 0.500 0.500 x1

Output
- VASP energy: -6.46 eV/atom

No. 6
La2USi3Pt4 | GGA-PBE | relaxed

Cell: 4.318 4.318 10.835 Å, 90.00 90.00 90.00°
Space group P-4m2 (No. 115)
One atom of each set of equivalent atoms:
La1 0.000 0.500 0.233 x2
U1 0.000 0.000 0.500 x1
Si1 0.000 0.500 0.885 x2
Si2 0.500 0.500 0.500 x1
Pt1 0.000 0.000 0.000 x1
Pt2 0.000 0.500 0.661 x2
Pt3 0.500 0.500 0.000 x1

Output
- VASP energy: -7.10 eV/atom

No. 7
La2VSi4Pt3 | GGA-PBE | relaxed

Cell: 4.257 4.257 10.197 Å, 90.00 90.00 90.00°
Space group P-4m2 (No. 115)
One atom of each set of equivalent atoms:
La1 0.000 0.500 0.244 x2
V1 0.000 0.000 0.500 x1
Si1 0.000 0.000 0.000 x1
Si2 0.000 0.500 0.632 x2
Si3 0.500 0.500 0.000 x1
Pt1 0.000 0.500 0.880 x2
Pt2 0.500 0.500 0.500 x1

Output
- VASP energy: -6.88 eV/atom

No. 8
La2YSi3Pt12 | GGA-PBE | relaxed

Cell: 8.3508 8.3508 18.2641 Å, 90.00 90.00 120.00°
Space group R-3m (No. 166, hexagonal axes)
One atom of each set of equivalent atoms:
La1 0.0000 0.0000 0.1011 x6
Y1 0.0000 0.0000 0.5000 x3
Si1 0.0000 0.5000 0.0000 x9
Pt1 0.0300 0.5150 0.8708 x18
Pt2 0.0349 0.5174 0.3660 x18

Output
- VASP energy: -6.42 eV/atom

No. 9
La3ZnSi2Pt9 | GGA-PBE | relaxed

Cell: 5.7865 5.7865 10.7696 Å, 90.00 90.00 120.00°
Space group P-3m1 (No. 164)
One atom of each set of equivalent atoms:
La1 0.0000 0.0000 0.0000 x1
La2 0.3333 0.6667 0.5989 x2
Zn1 0.0000 0.0000 0.5000 x1
Si1 0.3333 0.6667 0.1628 x2
Pt1 0.0000 0.5000 0.0000 x3
Pt2 0.1618 0.3237 0.3134 x6

Output
- VASP energy: -6.28 eV/atom

No. 10
La2ZnSi3Pt12 | GGA-PBE | relaxed

Cell: 8.2604 8.2604 18.1599 Å, 90.00 90.00 120.00°
Space group R-3m (No. 166, hexagonal axes)
One atom of each set of equivalent atoms:
La1 0.0000 0.0000 0.1165 x6
Zn1 0.0000 0.0000 0.5000 x3
Si1 0.0000 0.5000 0.0000 x9
Pt1 0.0009 0.5004 0.1276 x18
Pt2 0.0286 0.5143 0.3685 x18

Output
- VASP energy: -6.11 eV/atom

No. 11
LaZnSi2Pt2 | GGA-PBE | relaxed

Cell: 4.2274 4.2274 7.1236 Å, 90.00 90.00 120.00°
Space group P-3m1 (No. 164)
One atom of each set of equivalent atoms:
La1 0.0000 0.0000 0.0000 x1
Zn1 0.0000 0.0000 0.5000 x1
Si1 0.3333 0.6667 0.7121 x2
Pt1 0.3333 0.6667 0.3310 x2

Output
- VASP energy: -5.70 eV/atom

No. 12
LaZnSi2Pt5 | GGA-PBE | relaxed

Cell: 4.106 4.106 10.341 Å, 90.00 90.00 90.00°
Space group P4/mmm (No. 123)
One atom of each set of equivalent atoms:
La1 0.000 0.000 0.000 x1
Zn1 0.000 0.000 0.500 x1
Si1 0.500 0.500 0.228 x2
Pt1 0.000 0.500 0.343 x4
Pt2 0.500 0.500 0.000 x1

Output
- VASP energy: -6.01 eV/atom

No. 13
LaZnSiPt6 | GGA-PBE | relaxed

Cell: 7.092 8.854 11.272 Å, 90.00 90.00 90.00°
Space group Imma (No. 74)
One atom of each set of equivalent atoms:
La1 0.000 0.250 0.158 x4
Zn1 0.250 0.250 0.750 x4
Si1 0.000 0.000 0.500 x4
Pt1 0.000 0.250 0.415 x4
Pt2 0.000 0.250 0.904 x4
Pt3 0.239 0.011 0.875 x16

Output
- VASP energy: -5.82 eV/atom

No. 14
La2ZnSi4Pt3 | GGA-PBE | relaxed

Cell: 4.298 4.298 10.019 Å, 90.00 90.00 90.00°
Space group P-4m2 (No. 115)
One atom of each set of equivalent atoms:
La1 0.000 0.500 0.248 x2
Zn1 0.000 0.000 0.500 x1
Si1 0.000 0.000 0.000 x1
Si2 0.000 0.500 0.636 x2
Si3 0.500 0.500 0.000 x1
Pt1 0.000 0.500 0.882 x2
Pt2 0.500 0.500 0.500 x1

Output
- VASP energy: -6.11 eV/atom

No. 15
La2ZrSi4Pt3 | GGA-PBE | relaxed

Cell: 4.288 4.288 10.577 Å, 90.00 90.00 90.00°
Space group P-4m2 (No. 115)
One atom of each set of equivalent atoms:
La1 0.000 0.500 0.236 x2
Zr1 0.000 0.000 0.500 x1
Si1 0.000 0.000 0.000 x1
Si2 0.000 0.500 0.651 x2
Si3 0.500 0.500 0.000 x1
Pt1 0.000 0.500 0.887 x2
Pt2 0.500 0.500 0.500 x1

Output
- VASP energy: -6.88 eV/atom

No. 16
La2ZrSiPt | GGA-PBE | relaxed

Cell: 5.560 5.560 4.857 Å, 90.00 90.00 90.00°
Space group P4/mmm (No. 123)
One atom of each set of equivalent atoms:
La1 0.000 0.500 0.000 x2
Zr1 0.000 0.000 0.000 x1
Si1 0.000 0.000 0.500 x1
Pt1 0.500 0.500 0.500 x1

Output
- VASP energy: -5.50 eV/atom

No. 17
La2ZrSi3Pt12 | GGA-PBE | relaxed

Cell: 8.2413 8.2413 18.7709 Å, 90.00 90.00 120.00°
Space group R-3m (No. 166, hexagonal axes)
One atom of each set of equivalent atoms:
La1 0.0000 0.0000 0.1040 x6
Zr1 0.0000 0.0000 0.5000 x3
Si1 0.0000 0.5000 0.0000 x9
Pt1 0.0184 0.5092 0.8739 x18
Pt2 0.0324 0.5162 0.3666 x18

Output
- VASP energy: -6.52 eV/atom

No. 18
LaSmPt4 | GGA-PBE | relaxed

Cell: 7.810 7.810 7.810 Å, 90.00 90.00 90.00°
Space group F-43m (No. 216)
One atom of each set of equivalent atoms:
La1 0.000 0.000 0.000 x4
Sm1 0.250 0.250 0.250 x4
Pt1 0.125 0.125 0.625 x16

Output
- VASP energy: -6.73 eV/atom

No. 19
La2SmPt | GGA-PBE | relaxed

Cell: 3.762 3.762 8.512 Å, 90.00 90.00 90.00°
Space group P4/mmm (No. 123)
One atom of each set of equivalent atoms:
La1 0.000 0.000 0.200 x2
Sm1 0.500 0.500 0.500 x1
Pt1 0.500 0.500 0.000 x1

Output
- ΔE to the lowest computed polymorph: 138 meV per atom
- VASP energy: -5.65 eV/atom

No. 20
LaSmPt | GGA-PBE | relaxed

Cell: 3.643 3.643 13.080 Å, 90.00 90.00 90.00°
Space group I4mm (No. 107)
One atom of each set of equivalent atoms:
La1 0.000 0.000 0.000 x2
Sm1 0.000 0.000 0.739 x2
Pt1 0.000 0.000 0.359 x2

Output
- ΔE to the lowest computed polymorph: 91 meV per atom
- VASP energy: -5.94 eV/atom